1.
First-principles (PBE) data for a relaxed structure of PmLuGaSn, as listed in Alexandria via LeMat-Bulk.

Output
ΔH_f (0 K)	-0.513	eV per atom
theoretical density	8.3	Mg/m³
energy	-18.354	eV per formula unit

Unit cell a=5.2387 b=5.2387 c=5.2387 alpha=60.00 beta=60.00 gamma=60.00
Element x y z (fractional)
1 Pm 0.0000 0.0000 0.0000
2 Ga 0.7500 0.7500 0.7500
3 Lu 0.5000 0.5000 0.5000
4 Sn 0.2500 0.2500 0.2500

2.
First-principles (PBE) data for a relaxed structure of AcTlTe4, as listed in Alexandria via LeMat-Bulk.

Output
formation energy (no corrections)	-0.215	eV per atom
theoretical density	7.9	Mg/m³
polymorph energy (0 for the lowest one)	550	meV/atom
energy	-20.330	eV per formula unit

Unit cell a=6.5435 b=6.5435 c=6.5435 alpha=60.00 beta=60.00 gamma=60.00
Element x y z (fractional)
1 Te 0.6248 0.1257 0.6248
2 Te 0.1257 0.6248 0.6248
3 Te 0.6248 0.6248 0.6248
4 Te 0.6248 0.6248 0.1257
5 Ac 0.2500 0.2500 0.2500
6 Tl 0.0000 0.0000 0.0000

3.
First-principles (PBE) data for a relaxed structure of Sm2Dy3Sc, as listed in Alexandria via LeMat-Bulk.

Output
ΔH_f (0 K)	0.035	eV per atom
theoretical density	7.5	Mg/m³
polymorph energy (0 for the lowest one)	0	meV/atom
energy	-29.367	eV per formula unit

Unit cell a=6.0992 b=9.3235 c=10.5907 alpha=129.07 beta=125.37 gamma=77.34
Element x y z (fractional)
1 Sm 0.2124 0.8753 0.4167
2 Sm 0.7876 0.1247 0.5833
3 Sm 0.4643 0.1215 0.9170
4 Sm 0.5357 0.8785 0.0830
5 Dy 0.6270 0.6236 0.2517
6 Dy 0.0419 0.3689 0.0822
7 Dy 0.2903 0.6226 0.5812
8 Dy 0.7097 0.3774 0.4188
9 Dy 0.9581 0.6311 0.9178
10 Dy 0.3730 0.3764 0.7483
11 Sc 0.1231 0.1264 0.2476
12 Sc 0.8769 0.8736 0.7524

4.
First-principles (PBE) data for a relaxed structure of Ta3CdPt, as listed in Alexandria via LeMat-Bulk.

Output
ΔH_f (0 K)	2.231	eV per atom
theoretical density	12.1	Mg/m³
polymorph energy (0 for the lowest one)	1123	meV/atom
energy	-31.357	eV per formula unit

Unit cell a=4.8837 b=4.8837 c=4.8837 alpha=90.00 beta=90.00 gamma=90.00
Element x y z (fractional)
1 Ta 0.5000 0.0000 0.0000
2 Ta 0.0000 0.5000 0.0000
3 Ta 0.0000 0.0000 0.5000
4 Cd 0.0000 0.0000 0.0000
5 Pt 0.5000 0.5000 0.5000

5.
First-principles (PBE) data for a relaxed structure of InFe2Cl6, as listed in Alexandria via LeMat-Bulk.

Output
formation energy (no corrections)	-0.780	eV per atom
theoretical density	2.5	Mg/m³
energy	-37.762	eV per formula unit

Unit cell a=6.4855 b=9.5663 c=9.5663 alpha=89.39 beta=83.97 gamma=83.97
Element x y z (fractional)
1 Cl 0.6068 0.5760 0.1659
2 Cl 0.3932 0.4240 0.8341
3 Cl 0.4047 0.7167 0.5825
4 Cl 0.8140 0.2114 0.0517
5 Cl 0.1860 0.7886 0.9483
6 Cl 0.3140 0.0517 0.2114
7 Cl 0.9047 0.5825 0.7167
8 Cl 0.8932 0.8341 0.4240
9 Cl 0.1068 0.1659 0.5760
10 Cl 0.6860 0.9483 0.7886
11 Cl 0.5953 0.2833 0.4175
12 Cl 0.0953 0.4175 0.2833
13 In 0.7500 0.8703 0.1297
14 In 0.2500 0.1297 0.8703
15 Fe 0.7297 0.7803 0.6265
16 Fe 0.2703 0.2197 0.3735
17 Fe 0.2297 0.6265 0.7803
18 Fe 0.7703 0.3735 0.2197

6.
First-principles (PBE) data for a relaxed structure of Cs2Hg8Pb, as listed in Alexandria via LeMat-Bulk.

Output
ΔH_f (0 K)	-0.171	eV per atom
theoretical density	9.1	Mg/m³
energy	-9.715	eV per formula unit

Unit cell a=5.6581 b=7.6986 c=10.0130 alpha=112.31 beta=108.74 gamma=90.07
Element x y z (fractional)
1 Hg 0.8007 0.6129 0.6430
2 Hg 0.1996 0.9706 0.3553
3 Hg 0.0006 0.2182 0.0009
4 Hg 0.8004 0.0294 0.6447
5 Hg 0.1993 0.3871 0.3570
6 Hg 0.9994 0.7818 0.9991
7 Hg 0.7105 0.1852 0.3702
8 Hg 0.2895 0.8148 0.6298
9 Pb 0.5000 0.0000 0.0000
10 Cs 0.3671 0.3807 0.7629
11 Cs 0.6329 0.6193 0.2371

7.
First-principles (PBE) data for a relaxed structure of SmTm2Sc3Se6, as listed in Alexandria via LeMat-Bulk.

Output
formation energy (no corrections)	-1.650	eV per atom
theoretical density	6.8	Mg/m³
energy	-73.360	eV per formula unit

Unit cell a=6.8839 b=6.8839 c=6.8884 alpha=99.49 beta=99.49 gamma=120.19
Element x y z (fractional)
1 Tm 0.6654 0.3346 0.0000
2 Tm 0.3346 0.6654 0.0000
3 Se 0.2568 0.2568 0.7397
4 Se 0.4328 0.0880 0.2664
5 Se 0.9120 0.5672 0.7336
6 Se 0.7432 0.7432 0.2603
7 Se 0.0880 0.4328 0.2664
8 Se 0.5672 0.9120 0.7336
9 Sc 0.1560 0.8440 0.5000
10 Sc 0.5000 0.5000 0.5000
11 Sc 0.8440 0.1560 0.5000
12 Sm 0.0000 0.0000 0.0000

8.
First-principles (PBE) data for a relaxed structure of Ni2Pd6W, as listed in Alexandria via LeMat-Bulk.

Output
ΔH_f (0 K)	-0.026	eV per atom
theoretical density	11.9	Mg/m³
polymorph energy (0 for the lowest one)	0	meV/atom
energy	-55.909	eV per formula unit

Unit cell a=2.7725 b=6.0614 c=8.2360 alpha=103.73 beta=90.00 gamma=103.22
Element x y z (fractional)
1 Pd 0.3277 0.6553 0.4354
2 Pd 0.0075 0.0149 0.3269
3 Pd 0.9925 0.9851 0.6731
4 Pd 0.3344 0.6688 0.1090
5 Pd 0.6656 0.3312 0.8910
6 Pd 0.6723 0.3447 0.5646
7 Ni 0.3403 0.6807 0.7897
8 Ni 0.6597 0.3193 0.2103
9 W 0.0000 0.0000 0.0000

9.
First-principles (PBE) data for a relaxed structure of SrGa3Pb3, as listed in Alexandria via LeMat-Bulk.

Output
ΔH_f (0 K)	0.108	eV per atom
theoretical density	6.3	Mg/m³
energy	-21.133	eV per formula unit

Unit cell a=7.8384 b=7.8384 c=7.8384 alpha=90.00 beta=90.00 gamma=90.00
Element x y z (fractional)
1 Ga 0.5000 0.0000 0.2500
2 Ga 0.0000 0.7500 0.5000
3 Ga 0.0000 0.2500 0.5000
4 Ga 0.2500 0.5000 0.0000
5 Ga 0.5000 0.0000 0.7500
6 Ga 0.7500 0.5000 0.0000
7 Pb 0.2500 0.0000 0.5000
8 Pb 0.0000 0.5000 0.2500
9 Pb 0.5000 0.2500 0.0000
10 Pb 0.7500 0.0000 0.5000
11 Pb 0.0000 0.5000 0.7500
12 Pb 0.5000 0.7500 0.0000
13 Sr 0.5000 0.5000 0.5000
14 Sr 0.0000 0.0000 0.0000

10.
First-principles (PBE) data for a relaxed structure of AlNi2B, as listed in Alexandria via LeMat-Bulk.

Output
ΔH_f (0 K)	-0.117	eV per atom
theoretical density	6.0	Mg/m³
polymorph energy (0 for the lowest one)	162	meV/atom
energy	-22.452	eV per formula unit

Unit cell a=3.5935 b=3.5935 c=4.3749 alpha=65.75 beta=65.75 gamma=60.00
Element x y z (fractional)
1 Ni 0.2173 0.2173 0.3482
2 Ni 0.7827 0.7827 0.6518
3 B 0.5000 0.5000 0.5000
4 Al 0.0000 0.0000 0.0000

11.
First-principles (PBE) data for a relaxed structure of Au3Se4, as listed in Alexandria via LeMat-Bulk.

Output
formation energy (no corrections)	0.250	eV per atom
theoretical density	9.6	Mg/m³
energy	-22.018	eV per formula unit

Unit cell a=10.9261 b=10.9261 c=10.9261 alpha=159.76 beta=159.76 gamma=28.78
Element x y z (fractional)
1 Au 0.0000 0.0000 0.0000
2 Au 0.3150 0.3150 0.0000
3 Au 0.6850 0.6850 0.0000
4 Se 0.5656 0.5656 0.0000
5 Se 0.4344 0.4344 0.0000
6 Se 0.8084 0.8084 0.0000
7 Se 0.1916 0.1916 0.0000

12.
First-principles (PBE) data for a relaxed structure of Al3Sb, as listed in Alexandria via LeMat-Bulk.

Output
formation energy (no corrections)	0.225	eV per atom
theoretical density	4.2	Mg/m³
energy	-14.448	eV per formula unit

Unit cell a=3.1374 b=3.1374 c=9.4461 alpha=90.00 beta=90.00 gamma=120.00
Element x y z (fractional)
1 Al 0.0000 0.0000 0.0256
2 Al 0.6667 0.3333 0.2500
3 Al 0.0000 0.0000 0.4744
4 Sb 0.6667 0.3333 0.7500